# 1
Ca2NiRhCl: optimized geometry, PBE-GGA.

Cell: 5.439 5.439 4.019 Å, 90.00 90.00 90.00°
Fractional positions:
1 Ca 0.000 0.500 0.000
2 Ca 0.500 0.000 0.000
3 Ni 0.000 0.000 0.000
4 Rh 0.500 0.500 0.500
5 Cl 0.000 0.000 0.500

Results
E_form (uncorrected) = -0.020 eV/f.u.
Volume = 119 Å³/cell
Density of states at the Fermi level = 0.79 states/eV/atom

***

# 2
Nd7Si5Au: optimized geometry, PBE-GGA.

Cell: 8.085 8.085 8.085 Å, 134.79 93.85 103.20°
Fractional positions:
1 Nd 0.000 0.000 0.000
2 Nd 0.006 0.697 0.308
3 Nd 0.389 0.697 0.692
4 Nd 0.405 0.405 0.000
5 Nd 0.453 0.123 0.329
6 Nd 0.794 0.123 0.671
7 Nd 0.866 0.366 0.500
8 Si 0.157 0.224 0.542
9 Si 0.157 0.615 0.933
10 Si 0.396 0.896 0.500
11 Si 0.682 0.224 0.067
12 Si 0.682 0.615 0.458
13 Au 0.705 0.705 0.000

Results
E_form (uncorrected) = -5.657 eV/f.u.
Volume = 345 Å³/cell
Density of states at the Fermi level = 0.80 states/eV/atom